The following is a DFT calculation (PBE-GGA) of LaTb6Pr after structural relaxation.

abc: 5.0993 5.0993 10.1998
angles: 90.00 90.00 90.00
Closest atoms and distances in Å follow each position.
Fractional positions:
Tb  0.5000  0.5000  0.0000  4 La 3.61, 8 Tb 3.61
Tb  0.0000  0.5000  0.7488  8 Tb 3.60-3.61, 2 Pr 3.60, 2 La 3.61
Tb  0.5000  0.0000  0.2512  2 Pr 3.60, 8 Tb 3.60-3.61, 2 La 3.61
La  0.0000  0.0000  0.0000  12 Tb 3.61
Tb  0.5000  0.0000  0.7488  8 Tb 3.60-3.61, 2 Pr 3.60, 2 La 3.61
Tb  0.5000  0.5000  0.5000  8 Tb 3.60, 4 Pr 3.61
Pr  0.0000  0.0000  0.5000  12 Tb 3.60-3.61
Tb  0.0000  0.5000  0.2512  2 Pr 3.60, 8 Tb 3.60-3.61, 2 La 3.61

Results
Symmetry: P4/mmm
Crystal system: tetragonal
Total moment (μB per cell): 0.0
DOS at the Fermi energy (states/eV per cell): 12.4
DFT formation energy (kJ per mole of atoms): 2.24
Energy relative to the lowest polymorph listed for this composition (eV per atom): 0.000


The following is a DFT calculation (PBE-GGA) of MoRh6W after structural relaxation.

abc: 3.8833 5.4585 5.4585
angles: 90.00 90.00 90.00
Closest atoms and distances in Å follow each position.
Fractional positions:
W  0.5000  0.0000  0.0000  12 Rh 2.73-2.74
Rh  0.0000  0.7502  0.7502  8 Rh 2.73-2.74, 2 W 2.74, 2 Mo 2.74
Rh  0.0000  0.2498  0.2498  8 Rh 2.73-2.74, 2 W 2.74, 2 Mo 2.74
Rh  0.5000  0.0000  0.5000  2 Mo 2.73, 2 W 2.73, 8 Rh 2.74
Mo  0.5000  0.5000  0.5000  12 Rh 2.73-2.74
Rh  0.0000  0.2500  0.7500  8 Rh 2.73-2.74, 2 W 2.74, 2 Mo 2.74
Rh  0.5000  0.5000  0.0000  2 W 2.73, 2 Mo 2.73, 8 Rh 2.74
Rh  0.0000  0.7500  0.2500  8 Rh 2.73-2.74, 2 W 2.74, 2 Mo 2.74

Results
Symmetry: P4/mmm
Crystal system: tetragonal
Total moment (μB per cell): 0.0
DOS at the Fermi energy (states/eV per cell): 6.2
DFT formation energy (kJ per mole of atoms): -20.00
Energy relative to the lowest polymorph listed for this composition (eV per atom): 0.000


The following is a DFT calculation (PBE-GGA) of AcPr5Rh2 after structural relaxation.

abc: 4.2188 9.3866 9.3866
angles: 47.45 77.01 77.01
Closest atoms and distances in Å follow each position.
Fractional positions:
Pr  0.3391  0.9118  0.4101  3 Rh 2.86-3.20
Pr  0.6609  0.0882  0.5899  3 Rh 2.86-3.20
Ac  0.0000  0.0000  0.0000  10 Pr 3.78-3.90, 2 Ac 4.22
Pr  0.3391  0.4101  0.9118  3 Rh 2.86-3.20
Pr  0.6609  0.5899  0.0882  3 Rh 2.86-3.20
Pr  0.0000  0.5000  0.5000  2 Rh 3.06
Rh  0.8164  0.6836  0.6836  7 Pr 2.86-3.20
Rh  0.1836  0.3164  0.3164  7 Pr 2.86-3.20

Results
Symmetry: Immm
Crystal system: orthorhombic
Total moment (μB per cell): 0.0
DOS at the Fermi energy (states/eV per cell): 10.2
DFT formation energy (kJ per mole of atoms): -29.63


The following is a DFT calculation (PBE-GGA) of HfAlTc2 after structural relaxation.

abc: 3.2803 4.4020 4.4020
angles: 90.00 90.00 90.00
Closest atoms and distances in Å follow each position.
Fractional positions:
Al  0.5000  0.0000  0.0000  8 Tc 2.74
Tc  0.0000  0.5000  0.0000  4 Hf 2.74, 4 Al 2.74
Tc  0.0000  0.0000  0.5000  4 Hf 2.74, 4 Al 2.74
Hf  0.5000  0.5000  0.5000  8 Tc 2.74

Results
Symmetry: P4/mmm
Crystal system: tetragonal
Total moment (μB per cell): 0.0
DOS at the Fermi energy (states/eV per cell): 5.3
DFT formation energy (kJ per mole of atoms): -35.02